CoH3Pd: relaxed, PBEsol.

Computed properties:
- Energy: -4.379 eV/atom
- Magnetic moment: 1.61 μB per cell
- Symmetry: Pm-3m (221)

abc: 3.360 3.360 3.360
angles: 90.00 90.00 90.00
Positions (direct):
Co1 0.000 0.000 0.000
H1 0.000 0.500 0.500
H2 0.500 0.000 0.500
H3 0.500 0.500 0.000
Pd1 0.500 0.500 0.500

CoHPd3: relaxed, PBEsol.

Computed properties:
- Energy: -5.749 eV/atom
- Magnetic moment: 2.76 μB per cell
- Symmetry: Pm-3m (221)

abc: 3.865 3.865 3.865
angles: 90.00 90.00 90.00
Positions (direct):
Co1 0.000 0.000 0.000
H1 0.500 0.500 0.500
Pd1 0.000 0.500 0.500
Pd2 0.500 0.000 0.500
Pd3 0.500 0.500 0.000

Co3HPt: relaxed, PBEsol.

Computed properties:
- Energy: -6.749 eV/atom
- Magnetic moment: 4.81 μB per cell
- Symmetry: Pm-3m (221)

abc: 3.634 3.634 3.634
angles: 90.00 90.00 90.00
Positions (direct):
Co1 0.000 0.000 0.500
Co2 0.000 0.500 0.000
Co3 0.500 0.000 0.000
H1 0.000 0.000 0.000
Pt1 0.500 0.500 0.500

Co2HPt: relaxed, PBEsol.

Computed properties:
- Energy: -6.268 eV/atom
- Magnetic moment: 6.49 μB per cell
- Symmetry: I-42d (122)

abc: 4.696 4.696 4.696
angles: 109.81 109.81 108.80
Positions (direct):
Co1 0.375 0.002 0.127
Co2 0.752 0.625 0.627
Co3 0.875 0.248 0.873
Co4 0.998 0.125 0.373
H1 0.000 0.000 0.000
H2 0.750 0.250 0.500
Pt1 0.250 0.750 0.500
Pt2 0.500 0.500 0.000

Q: Which value of magnetic moment does entry 1 give?
A: 1.61 μB per cell